1.
A plane-wave DFT calculation with PBE was carried out for an optimized crystal structure of Hf6PdRu.

- space-group type = P-1 (2)
- formation enthalpy at 0 K (meV/atom) = -235
- magnetization (μB/cell) = 0.0
- electronic total energy (eV/atom) = -9.51

The structure in extended XYZ format:
```
8
Lattice="5.4350 0.0000 0.0000 -0.3081 5.4268 0.0000 -0.3064 -0.3157 5.4193" Properties=species:S:1:pos:R:3 pbc="T T T"
Hf -0.0350 1.3659 0.2447
Hf 0.8924 5.0329 2.6438
Hf 2.0965 2.4204 4.0418
Hf 2.7241 2.6907 1.3775
Hf 3.9281 0.0783 2.7755
Hf 4.8556 3.7453 5.1746
Pd 2.7175 0.0000 0.0000
Ru -0.3073 2.5556 2.7097
```

=====

2.
A plane-wave DFT calculation with PBE was carried out for an optimized crystal structure of TbTc6P4.

- space-group type = I-42m (121)
- formation enthalpy at 0 K (meV/atom) = -263
- magnetization (μB/cell) = 0.0
- electronic total energy (eV/atom) = -8.31

The structure in extended XYZ format:
```
11
Lattice="-2.9518 2.9518 5.0745 2.9518 -2.9518 5.0745 2.9518 2.9518 -5.0745" Properties=species:S:1:pos:R:3 pbc="T T T"
Tb 0.0000 0.0000 0.0000
Tc 2.9518 0.0000 0.0000
Tc 1.0204 -1.0204 3.1647
Tc -1.0204 1.0204 3.1647
Tc 0.0000 2.9518 0.0000
Tc 1.9313 1.9313 1.9098
Tc 1.0204 1.0204 6.9843
P 1.7466 1.7466 -1.1281
P 1.2052 -1.2052 6.2026
P 1.2052 1.2052 3.9464
P -1.2052 1.2052 6.2026
```

=====

3.
A plane-wave DFT calculation with PBE was carried out for an optimized crystal structure of Dy4GeTe2S.

- space-group type = P2/m (10)
- magnetization (μB/cell) = 0.0
- uncorrected formation energy (eV per formula unit) = -11.6
- electronic total energy (eV/atom) = -5.62

The structure in extended XYZ format:
```
8
Lattice="7.1563 0.0000 0.0000 0.0000 4.1647 0.0000 -2.4270 0.0000 7.0534" Properties=species:S:1:pos:R:3 pbc="T T T"
Dy 1.1838 0.0000 1.4941
Dy -0.0319 2.0823 5.5240
Dy 4.7612 2.0823 1.5293
Dy 3.5455 0.0000 5.5592
Ge 3.5782 0.0000 0.0000
Te -1.2135 0.0000 3.5267
Te 2.3647 2.0823 3.5267
S 0.0000 2.0823 0.0000
```

=====

4.
A plane-wave DFT calculation with PBE was carried out for an optimized crystal structure of MgRu2PbO8.

- space-group type = P-3 (147)
- magnetization (μB/cell) = 3.9
- uncorrected formation energy (eV per formula unit) = -13.1
- electronic total energy (eV/atom) = -6.39

The structure in extended XYZ format:
```
12
Lattice="5.7819 0.0000 0.0000 -2.8909 5.0073 0.0000 0.0000 0.0000 6.8842" Properties=species:S:1:pos:R:3 pbc="T T T"
Mg 0.0000 0.0000 0.0000
Ru 0.0000 3.3382 1.7896
Ru 2.8909 1.6691 5.0946
Pb 0.0000 0.0000 3.4421
O -1.5166 4.2074 1.3563
O 0.0055 1.5902 1.3563
O 1.3799 0.7903 5.5279
O 0.0000 3.3382 3.5614
O 2.8909 1.6691 3.3228
O 1.5111 4.2170 1.3563
O 2.8854 3.4171 5.5279
O 4.4075 0.7999 5.5279
```

=====

5.
A plane-wave DFT calculation with PBE was carried out for an optimized crystal structure of Hf2ZrSb2.

- space-group type = Cmc2_1 (36)
- magnetization (μB/cell) = 0.0
- uncorrected formation energy (eV per formula unit) = -2.5
- electronic total energy (eV/atom) = -7.84

The structure in extended XYZ format:
```
10
Lattice="2.4463 -7.8871 0.0000 2.4463 7.8871 0.0000 0.0000 0.0000 5.8339" Properties=species:S:1:pos:R:3 pbc="T T T"
Hf 2.4463 7.4409 2.9169
Hf 2.4463 5.2557 5.5203
Hf 2.4463 -5.2557 2.6034
Hf 2.4463 -7.4409 0.0000
Zr 2.4463 2.0190 4.4740
Zr 2.4463 -2.0190 1.5571
Sb 2.4463 4.4729 2.6086
Sb 2.4463 0.9816 1.6833
Sb 2.4463 -0.9816 4.6003
Sb 2.4463 -4.4729 5.5255
```

=====

6.
A plane-wave DFT calculation with PBE was carried out for an optimized crystal structure of PuTl3Br2Cl6.

- space-group type = C2/m (12)
- magnetization (μB/cell) = 3.7
- uncorrected formation energy (eV per formula unit) = -14.1
- electronic total energy (eV/atom) = -4.16

The structure in extended XYZ format:
```
12
Lattice="7.9749 -4.3513 0.0000 7.9749 4.3513 0.0000 -0.0724 0.0000 6.3348" Properties=species:S:1:pos:R:3 pbc="T T T"
Pu 0.0000 0.0000 0.0000
Tl 3.9875 2.1757 0.0000
Tl 3.9875 -2.1757 0.0000
Tl 7.9387 0.0000 3.1674
Br 5.3285 0.0000 4.5186
Br 10.5489 0.0000 1.8163
Cl 2.1338 0.0000 1.4703
Cl 6.8569 2.5093 1.4504
Cl 9.0205 2.5093 4.8844
Cl 6.8569 -2.5093 1.4504
Cl 9.0205 -2.5093 4.8844
Cl 13.7437 0.0000 4.8646
```

=====

7.
A plane-wave DFT calculation with PBE was carried out for an optimized crystal structure of Li2PrZnPd.

- space-group type = Imm2 (44)
- formation enthalpy at 0 K (meV/atom) = -326
- magnetization (μB/cell) = 0.0
- electronic total energy (eV/atom) = -3.34

The structure in extended XYZ format:
```
10
Lattice="4.0690 0.0000 0.0000 0.0000 4.1011 0.0000 0.0000 0.0000 12.0927" Properties=species:S:1:pos:R:3 pbc="T T T"
Li 0.0000 0.0000 0.0000
Li 0.0000 2.0506 1.7470
Li 2.0345 0.0000 7.7933
Li 2.0345 2.0506 6.0463
Pr 0.0000 2.0506 9.3409
Pr 2.0345 0.0000 3.2946
Zn 0.0000 0.0000 6.0716
Zn 2.0345 2.0506 0.0253
Pd 0.0000 2.0506 4.3595
Pd 2.0345 0.0000 10.4058
```

=====

8.
A plane-wave DFT calculation with PBE was carried out for an optimized crystal structure of TaGePd4.

- space-group type = P-1 (2)
- formation enthalpy at 0 K (meV/atom) = -395
- magnetization (μB/cell) = 0.0
- electronic total energy (eV/atom) = -6.60

The structure in extended XYZ format:
```
12
Lattice="5.1253 0.0000 0.0000 -2.0876 4.6912 0.0000 -0.1916 -0.2705 7.7634" Properties=species:S:1:pos:R:3 pbc="T T T"
Ta -0.1437 1.6549 1.9397
Ta 2.9898 2.7658 5.8237
Ge 1.5929 0.3431 5.8236
Ge 1.2532 4.0777 1.9397
Pd -1.6273 3.6318 0.7601
Pd -0.8999 4.4323 3.3338
Pd 0.2658 2.2018 4.6382
Pd 0.6894 3.1984 7.2109
Pd 2.1567 1.2224 0.5525
Pd 2.5803 2.2189 3.1252
Pd 3.7460 -0.0115 4.4295
Pd 4.4734 0.7890 7.0032
```